A relaxed ZnGeSeO crystal, computed with GGA-PBE.

The structure in POSCAR format:
```
ZnGeSeO
1.0
3.415 -1.959 0.000
3.415 1.959 0.000
-2.142 0.000 6.111
Zn Ge Se O
1 1 1 1
Cartesian
0.000 0.000 0.000 Zn
5.282 0.000 2.852 Ge
2.437 0.000 5.085 Se
0.000 0.000 1.960 O
```

Calculated values
Its total magnetic moment is 0.00 Bohr magnetons per cell. The calculation puts the density at 4.73 Mg/m³. As for the symmetry: No. 8. For the calculated volume, the calculation gives 82 Å³ per cell. The formation energy (no corrections) comes out at -282 kJ/mol of formula units. The density of states at the Fermi level is 0.000 states/eV per atom. For the energy relative to the lowest polymorph listed for this composition, the calculation gives 0.062 eV per atom. The crystal system is monoclinic. The total energy is -17.26 eV/f.u.